one:
{"formula": "V3FeMo", "functional": "PBE-GGA", "state": "relaxed", "dos_ef_per_ev_cell": 8.16, "magmom_total_mub_per_cell": 0.7, "cell": [[4.2498, 0.0000, 0.0000], [0.0000, 4.2498, 0.0000], [0.0000, 0.0000, 4.2498]], "species": ["V", "V", "V", "Fe", "Mo"], "fractional_positions": [[0.0000, 0.0000, 0.5000], [0.0000, 0.5000, 0.0000], [0.5000, 0.0000, 0.0000], [0.0000, 0.0000, 0.0000], [0.5000, 0.5000, 0.5000]]}



two:
{"formula": "V3FeMo", "functional": "PBE-GGA", "state": "relaxed", "dos_ef_per_ev_cell": 11.29, "magmom_total_mub_per_cell": 0.0, "cell": [[5.5113, -2.1013, 0.0000], [5.5113, 2.1013, 0.0000], [-3.4986, 0.0000, 5.9323]], "species": ["V", "V", "V", "V", "V", "V", "Fe", "Fe", "Mo", "Mo"], "fractional_positions": [[0.0777, 0.0777, 0.2299], [0.1303, 0.1303, 0.6813], [0.4046, 0.4046, 0.0368], [0.5954, 0.5954, 0.9632], [0.8697, 0.8697, 0.3187], [0.9223, 0.9223, 0.7701], [0.2201, 0.2201, 0.0899], [0.7799, 0.7799, 0.9101], [0.3836, 0.3836, 0.5413], [0.6164, 0.6164, 0.4587]]}



How far above the most stable structure does each one sit? In eV/atom: one 0.697; two 0.000.